1.
## Pr4DyAl5 (PBE)

Data for a relaxed structure of Pr4DyAl5.

Properties
The value obtained for the volume is 25.9 Å³ per atom. The calculation puts the theoretical density at 5.52 Mg/m³. The value obtained for the formation energy is -3.504 eV/f.u. The total energy is -4.594 eV per atom. The total magnetization is 0.0 μB per cell.

Cell and atoms, written as POSCAR:
```
Pr4DyAl5
1.0
3.727 0.000 0.000
0.000 3.727 0.000
0.000 0.000 18.633
Pr Dy Al
4 1 5
direct
0.000 0.000 0.102
0.000 0.000 0.306
0.000 0.000 0.694
0.000 0.000 0.898
0.000 0.000 0.500
0.500 0.500 0.000
0.500 0.500 0.204
0.500 0.500 0.410
0.500 0.500 0.590
0.500 0.500 0.796
```

***

2.
## Sr2UCuSe6 (PBE)

Data for a relaxed structure of Sr2UCuSe6.

Properties
The value obtained for the volume is 26.8 Å³ per atom. The calculation puts the theoretical density at 5.90 Mg/m³. The energy relative to the elements, uncorrected comes out at -1.159 eV per atom. The total energy is -5.125 eV per atom. The total magnetization is 0.0 μB per cell.

Cell and atoms, written as POSCAR:
```
Sr2UCuSe6
1.0
7.088 0.000 0.000
0.000 7.685 0.000
-6.704 0.000 9.827
Sr U Cu Se
4 2 2 12
direct
0.214 0.095 0.244
0.214 0.405 0.744
0.786 0.595 0.256
0.786 0.905 0.756
0.500 0.000 0.000
0.500 0.500 0.500
0.000 0.000 0.500
0.000 0.500 0.000
0.142 0.188 0.949
0.142 0.312 0.449
0.265 0.697 0.951
0.265 0.803 0.451
0.338 0.014 0.734
0.338 0.486 0.234
0.662 0.514 0.766
0.662 0.986 0.266
0.735 0.197 0.549
0.735 0.303 0.049
0.858 0.688 0.551
0.858 0.812 0.051
```

***

3.
## CrSiSe (PBE)

Data for a relaxed structure of CrSiSe.

Properties
The value obtained for the volume is 15.9 Å³ per atom. The calculation puts the theoretical density at 5.54 Mg/m³. The energy relative to the elements, uncorrected comes out at 0.161 eV per atom. The total energy is -6.016 eV per atom. The total magnetization is 0.3 μB per cell.

Cell and atoms, written as POSCAR:
```
CrSiSe
1.0
-1.460 1.460 5.583
1.460 -1.460 5.583
1.460 1.460 -5.583
Cr Si Se
1 1 1
direct
0.000 0.000 0.000
0.367 0.367 0.000
0.625 0.625 0.000
```

***

4.
## NaHo2PuSe4 (PBE)

Data for a relaxed structure of NaHo2PuSe4.

Properties
The value obtained for the volume is 24.8 Å³ per atom. The calculation puts the theoretical density at 7.64 Mg/m³. The energy relative to the elements, uncorrected comes out at -1.657 eV per atom. The total energy is -6.500 eV per atom. The total magnetization is 6.0 μB per cell.

Cell and atoms, written as POSCAR:
```
NaHo2PuSe4
1.0
7.129 0.000 0.000
0.000 4.095 0.000
-2.370 0.000 6.796
Na Ho Pu Se
1 2 1 4
direct
0.000 0.000 0.000
0.000 0.500 0.500
0.500 0.000 0.500
0.500 0.500 0.000
0.247 0.000 0.742
0.253 0.500 0.261
0.747 0.500 0.739
0.753 0.000 0.258
```